[1]
First-principles (PBE) data for a relaxed structure of TbPm2HoS6, as listed in Alexandria.

Calculated values
DOS(E_F) = 0.00 states/eV per cell
formation energy without anion corrections = -2.0436 eV per atom

Geometry as POSCAR:
```
TbPm2HoS6
1.0
-3.474 1.332 -5.964
0.438 -4.480 -5.399
-5.930 -4.149 -1.615
Tb Pm Ho S
1 2 1 6
direct
0.316 0.316 0.052
0.521 0.520 0.439
0.021 0.021 0.937
0.817 0.817 0.550
0.611 0.204 0.257
0.204 0.929 0.257
0.929 0.611 0.257
0.432 0.705 0.755
0.705 0.107 0.756
0.107 0.432 0.756
```


[2]
First-principles (PBE) data for a relaxed structure of ReAgP, as listed in Alexandria.

Calculated values
DOS(E_F) = 2.10 states/eV per cell
distance to the lowest polymorph of the same formula = 40.2 kJ/mol of atoms

Geometry as POSCAR:
```
ReAgP
1.0
-1.417 2.851 -2.542
-2.362 -1.066 -3.144
-3.961 0.954 0.013
Ag P Re
1 1 1
direct
0.500 0.500 0.500
0.750 0.750 0.750
0.000 0.000 0.000
```


Calculated calculated total energy, -6.391; -6.448 eV/atom (same order as the records).